{
  "formula": "ZnCuPtF6",
  "functional": "PBE-GGA",
  "state": "relaxed",
  "cell": [[5.401, 0.000, 0.000], [-2.701, 4.678, 0.000], [0.000, 0.000, 9.137]],
  "species": ["Zn", "Zn", "Cu", "Cu", "Pt", "Pt", "F", "F", "F", "F", "F", "F", "F", "F", "F", "F", "F", "F"],
  "frac_coords": [[0.333, 0.667, 0.250], [0.667, 0.333, 0.750], [0.000, 0.000, 0.000], [0.000, 0.000, 0.500], [0.333, 0.667, 0.750], [0.667, 0.333, 0.250], [0.012, 0.335, 0.128], [0.012, 0.677, 0.372], [0.323, 0.335, 0.372], [0.323, 0.988, 0.128], [0.335, 0.012, 0.628], [0.335, 0.323, 0.872], [0.665, 0.677, 0.128], [0.665, 0.988, 0.372], [0.677, 0.012, 0.872], [0.677, 0.665, 0.628], [0.988, 0.323, 0.628], [0.988, 0.665, 0.872]],
  "n_ef_per_ev_cell": 6.06,
  "final_energy_ev_per_atom": -3.982,
  "spacegroup": "P-31c (163)"
}